# 1
NdRh3Pb3 | Alexandria via LeMat-Bulk | GGA-PBE | optimized geometry; spin magnetization = 0.00 μB/f.u.; offset from the most stable computed form = 489.9 meV per atom
1.0
7.349 0.000 0.000
0.000 7.349 0.000
0.000 0.000 7.349
Nd Rh Pb
2 6 6
Direct
0.000 0.000 0.000
0.500 0.500 0.500
0.000 0.250 0.500
0.000 0.750 0.500
0.250 0.500 0.000
0.500 0.000 0.250
0.500 0.000 0.750
0.750 0.500 0.000
0.000 0.500 0.250
0.000 0.500 0.750
0.250 0.000 0.500
0.500 0.250 0.000
0.500 0.750 0.000
0.750 0.000 0.500

***

# 2
Nd2RhPb | Alexandria via LeMat-Bulk | GGA-PBE | optimized geometry; spin magnetization = 0.00 μB/f.u.; offset from the most stable computed form = 89.4 meV per atom
1.0
1.979 1.143 8.703
-1.979 1.143 8.703
0.000 -2.285 8.703
Nd Rh Pb
2 1 1
Direct
0.232 0.232 0.232
0.768 0.768 0.768
0.500 0.500 0.500
0.000 0.000 0.000